Here is a relaxed InNi2F crystal from Alexandria via LeMat-Bulk. Energies are from GGA+U.

a b c (Å): 7.363 7.363 7.363
angles (deg): 143.31 143.31 52.86
Fractional positions:
In  0.000  0.000  0.000
In  0.750  0.250  0.500
Ni  0.274  0.125  0.649
Ni  0.375  0.726  0.851
Ni  0.476  0.625  0.351
Ni  0.875  0.524  0.149
F  0.250  0.750  0.500
F  0.500  0.500  0.000

SG: I-42d, No. 122
Total energy in eV/atom: -2.505
V in Å³/atom: 17.70